Entry 1:
Below is crystalline Th2MoN4 at its relaxed geometry, with properties calculated at the PBE level.

Output
Relative energy among the computed polymorphs: 267.2 meV/atom
E_tot: -9.40 eV per atom
N(E_F): 4.07 states/eV/cell
Formation energy from raw total energies: -970 meV/atom

a = 6.0775 Å, b = 5.7140 Å, c = 6.8006 Å
α = 90.00°, β = 108.21°, γ = 90.00°
Sites, in units of the cell vectors:
1 Th 0.1941 0.2500 0.0325
2 Th 0.2635 0.2500 0.5535
3 Th 0.7365 0.7500 0.4465
4 Th 0.8059 0.7500 0.9675
5 Mo 0.2642 0.7500 0.8032
6 Mo 0.7358 0.2500 0.1968
7 N 0.0066 0.5186 0.7482
8 N 0.0066 0.9814 0.7482
9 N 0.4389 0.7500 0.0805
10 N 0.4649 0.7500 0.6342
11 N 0.5351 0.2500 0.3658
12 N 0.5611 0.2500 0.9195
13 N 0.9934 0.0186 0.2518
14 N 0.9934 0.4814 0.2518

Entry 2:
Below is crystalline Sr2Hg9Pb at its relaxed geometry, with properties calculated at the PBE level.

Output
E_tot: -1.09 eV per atom
Formation energy: -26 kJ/mol of atoms
N(E_F): 4.54 states/eV/cell

a = 4.8475 Å, b = 4.8475 Å, c = 14.2917 Å
α = 90.00°, β = 90.00°, γ = 90.00°
Sites, in units of the cell vectors:
1 Sr 0.0000 0.0000 0.1739
2 Sr 0.0000 0.0000 0.8261
3 Hg 0.0000 0.5000 0.0000
4 Hg 0.0000 0.5000 0.3390
5 Hg 0.0000 0.5000 0.6610
6 Hg 0.5000 0.0000 0.0000
7 Hg 0.5000 0.0000 0.3390
8 Hg 0.5000 0.0000 0.6610
9 Hg 0.5000 0.5000 0.1772
10 Hg 0.5000 0.5000 0.5000
11 Hg 0.5000 0.5000 0.8228
12 Pb 0.0000 0.0000 0.5000

Entry 3:
Below is crystalline Al2ZnRh at its relaxed geometry, with properties calculated at the PBE level.

Output
E_tot: -4.12 eV per atom
Formation energy: -9 kJ/mol of atoms
N(E_F): 2.55 states/eV/cell

a = 5.7824 Å, b = 5.7824 Å, c = 5.7824 Å
α = 101.43°, β = 101.43°, γ = 127.14°
Sites, in units of the cell vectors:
1 Al 0.0760 0.6250 0.9510
2 Al 0.3750 0.3260 0.4510
3 Al 0.6740 0.1250 0.0490
4 Al 0.8750 0.9240 0.5490
5 Zn 0.2500 0.7500 0.5000
6 Zn 0.5000 0.5000 0.0000
7 Rh 0.0000 0.0000 0.0000
8 Rh 0.7500 0.2500 0.5000